1.
A relaxed structure of Zr2WI. Source: the Alexandria database, functional PBE-GGA.

extended XYZ file:
```
8
Lattice="-2.989 2.989 7.035 2.989 -2.989 7.035 2.989 2.989 -7.035" Properties=species:S:1:pos:R:3 pbc="T T T"
Zr 4.483 1.051 -1.759
Zr 1.051 1.494 1.759
Zr -1.494 1.938 5.276
Zr 1.938 1.494 8.793
W 0.000 0.000 0.000
W 0.000 2.989 3.517
I 2.989 0.000 3.517
I 0.000 0.000 7.035
```

## Properties
Its energy relative to the elements, uncorrected is 1.10 eV/atom. The volume comes out at 31.42 Å³/atom. The calculation puts the mass density at 6.52 Mg/m³. As for the density of states at the Fermi level: 18.923 states/eV per cell.

2.
A relaxed structure of SiTcPb. Source: the Alexandria database, functional PBE-GGA.

extended XYZ file:
```
3
Lattice="0.000 3.131 3.131 3.131 0.000 3.131 3.131 3.131 0.000" Properties=species:S:1:pos:R:3 pbc="T T T"
Si 0.000 0.000 0.000
Tc 1.565 1.565 1.565
Pb 3.131 3.131 3.131
```

## Properties
Its energy relative to the elements, uncorrected is 0.58 eV/atom. The volume comes out at 20.46 Å³/atom. The calculation puts the mass density at 9.02 Mg/m³. As for the density of states at the Fermi level: 2.191 states/eV per cell. The calculation puts the relative energy among the computed polymorphs at 425 meV/atom.

3.
A relaxed structure of LiBe2Cr. Source: the Alexandria database, functional PBE-GGA.

extended XYZ file:
```
4
Lattice="1.218 0.703 8.332 -1.218 0.703 8.332 0.000 -1.406 8.332" Properties=species:S:1:pos:R:3 pbc="T T T"
Li 0.000 0.000 0.000
Be 0.000 0.000 6.158
Be 0.000 0.000 18.839
Cr 0.000 0.000 12.499
```

## Properties
The volume comes out at 10.70 Å³/atom. The calculation puts the mass density at 2.99 Mg/m³. As for the density of states at the Fermi level: 2.643 states/eV per cell. The calculation puts the relative energy among the computed polymorphs at 118 meV/atom.

4.
A relaxed structure of KHg3Pt. Source: the Alexandria database, functional PBE-GGA.

extended XYZ file:
```
10
Lattice="5.686 0.000 0.000 0.005 6.687 0.000 0.058 0.248 7.301" Properties=species:S:1:pos:R:3 pbc="T T T"
K 0.000 0.000 0.000
K 2.859 1.755 2.708
Hg 0.022 3.290 0.808
Hg 2.875 5.493 5.097
Hg 2.891 2.271 6.350
Hg 2.852 4.989 0.580
Hg 5.706 3.197 4.839
Hg 5.700 0.343 3.908
Pt 1.382 4.812 2.874
Pt 4.348 4.812 2.856
```

## Properties
The volume comes out at 27.76 Å³/atom. The calculation puts the mass density at 10.00 Mg/m³. As for the density of states at the Fermi level: 2.595 states/eV per cell. The calculation puts the relative energy among the computed polymorphs at 109 meV/atom.

5.
A relaxed structure of TcSbOs2. Source: the Alexandria database, functional PBE-GGA.

extended XYZ file:
```
4
Lattice="1.435 -2.461 0.000 1.435 2.461 0.000 0.000 0.000 9.600" Properties=species:S:1:pos:R:3 pbc="T T T"
Tc 0.000 0.000 0.000
Sb 0.000 0.000 4.800
Os 1.435 0.000 2.172
Os 1.435 0.000 7.427
```

## Properties
Its energy relative to the elements, uncorrected is 0.88 eV/atom. The volume comes out at 16.95 Å³/atom. The calculation puts the mass density at 14.70 Mg/m³. As for the density of states at the Fermi level: 5.627 states/eV per cell.

6.
A relaxed structure of RhClF2. Source: the Alexandria database, functional PBE-GGA.

extended XYZ file:
```
4
Lattice="1.377 0.795 10.232 -1.377 0.795 10.232 0.000 -1.590 10.232" Properties=species:S:1:pos:R:3 pbc="T T T"
Rh 0.000 0.000 0.000
Cl 0.000 0.000 15.347
F 0.000 0.000 1.876
F 0.000 0.000 28.819
```

## Properties
Its energy relative to the elements, uncorrected is -0.50 eV/atom. The volume comes out at 16.80 Å³/atom. The calculation puts the mass density at 4.36 Mg/m³. As for the density of states at the Fermi level: 2.888 states/eV per cell. The calculation puts the relative energy among the computed polymorphs at 482 meV/atom.

7.
A relaxed structure of NaCaSnPt. Source: the Alexandria database, functional PBE-GGA.

extended XYZ file:
```
4
Lattice="0.000 3.494 3.494 3.494 0.000 3.494 3.494 3.494 0.000" Properties=species:S:1:pos:R:3 pbc="T T T"
Na 0.000 0.000 0.000
Ca 5.240 5.240 5.240
Sn 1.747 1.747 1.747
Pt 3.494 3.494 3.494
```

## Properties
Its total energy is -15.57 eV for the cell shown. The volume comes out at 21.32 Å³/atom. The calculation puts the mass density at 7.34 Mg/m³. As for the density of states at the Fermi level: 2.516 states/eV per cell.

8.
A relaxed structure of AgOs2Pt. Source: the Alexandria database, functional PBE-GGA.

extended XYZ file:
```
4
Lattice="1.382 0.798 9.328 -1.382 0.798 9.328 0.000 -1.596 9.328" Properties=species:S:1:pos:R:3 pbc="T T T"
Ag 0.000 0.000 0.000
Os 0.000 0.000 13.872
Os 0.000 0.000 21.137
Pt 0.000 0.000 6.885
```

## Properties
Its total energy is -30.63 eV for the cell shown. The volume comes out at 15.43 Å³/atom. The calculation puts the mass density at 18.39 Mg/m³. As for the density of states at the Fermi level: 3.754 states/eV per cell.